Entry 1:
This record from Alexandria describes a geometry-optimized Cu2BIr2 structure. The functional is PBE-GGA.

The structure in POSCAR format:
```
Cu2BIr2
1.0
-2.555 2.149 4.475
4.456 -1.226 3.133
1.652 3.779 -0.871
Ir B Cu
4 2 4
Direct
0.339 0.839 0.000
0.161 0.339 0.000
0.661 0.161 0.000
0.839 0.661 0.000
0.500 0.500 0.000
0.000 0.000 0.000
0.158 0.658 0.500
0.342 0.158 0.500
0.842 0.342 0.500
0.658 0.842 0.500
```

Output
electronic total energy: -6.4831 eV/atom
symmetry: No. 127
density: 13.2 Mg/m³
DFT formation energy: 35 meV/atom

Entry 2:
This record from Alexandria describes a geometry-optimized YCuH2Pt structure. The functional is PBE-GGA.

The structure in POSCAR format:
```
YCuH2Pt
1.0
3.822 0.000 0.000
0.000 5.022 0.000
0.000 0.000 3.822
Cu H Y Pt
1 2 1 1
Direct
0.000 0.000 0.000
0.000 0.000 0.500
0.500 0.000 0.000
0.500 0.500 0.500
0.000 0.500 0.000
```

Output
electronic total energy: -4.7408 eV/atom
symmetry: No. 123
density: 7.9 Mg/m³

Entry 3:
This record from Alexandria describes a geometry-optimized LiLaCeS3 structure. The functional is PBE-GGA.

The structure in POSCAR format:
```
LiLaCeS3
1.0
-0.669 0.181 3.890
-2.434 -8.042 -0.045
8.458 -0.737 1.488
Ce S La Li
2 6 2 2
Direct
0.750 0.344 0.832
0.250 0.656 0.168
0.250 0.797 0.505
0.750 0.203 0.495
0.750 0.416 0.171
0.750 0.899 0.136
0.250 0.101 0.864
0.250 0.584 0.829
0.250 0.176 0.218
0.750 0.824 0.782
0.250 0.087 0.584
0.750 0.913 0.416
```

Output
formation energy from raw total energies: -1853 meV/atom
electronic total energy: -6.0457 eV/atom
symmetry: No. 11
density: 4.5 Mg/m³

Entry 4:
This record from Alexandria describes a geometry-optimized CaFe2Os structure. The functional is PBE-GGA.

The structure in POSCAR format:
```
CaFe2Os
1.0
-2.927 -4.253 -1.816
-0.853 -4.344 3.218
-0.602 5.336 -1.056
Fe Ca Os
2 1 1
Direct
0.030 0.030 0.000
0.247 0.747 0.500
0.752 0.252 0.500
0.471 0.471 0.000
```

Output
distance to the lowest polymorph of the same formula: 191 meV per atom
electronic total energy: -7.0306 eV/atom
symmetry: No. 44
density: 9.2 Mg/m³
DFT formation energy: 509 meV/atom

Entry 5:
This record from Alexandria describes a geometry-optimized Sc2CdPd2 structure. The functional is PBE-GGA.

The structure in POSCAR format:
```
Sc2CdPd2
1.0
-1.821 -1.905 3.629
4.069 -0.363 1.851
0.530 3.739 5.001
Sc Pd Cd
2 2 1
Direct
0.250 0.750 0.500
0.750 0.250 0.500
0.383 0.383 0.235
0.617 0.617 0.765
0.000 0.000 0.000
```

Output
electronic total energy: -5.2552 eV/atom
symmetry: No. 139
density: 6.3 Mg/m³
DFT formation energy: -462 meV/atom

Entry 6:
This record from Alexandria describes a geometry-optimized Zr4SnBi2 structure. The functional is PBE-GGA.

The structure in POSCAR format:
```
Zr4SnBi2
1.0
7.737 -1.155 -0.165
-1.709 7.634 0.165
-2.898 -3.347 6.452
Bi Zr Sn
4 8 2
Direct
0.125 0.299 0.674
0.549 0.375 0.674
0.625 0.451 0.326
0.701 0.875 0.326
0.872 0.260 0.235
0.378 0.114 0.888
0.740 0.128 0.764
0.510 0.775 0.889
0.364 0.975 0.236
0.025 0.636 0.765
0.225 0.490 0.112
0.886 0.622 0.111
0.250 0.750 0.500
0.000 0.000 0.000
```

Output
distance to the lowest polymorph of the same formula: 0 meV per atom
electronic total energy: -6.8091 eV/atom
symmetry: No. 24
density: 8.1 Mg/m³
DFT formation energy: -244 meV/atom

Entry 7:
This record from Alexandria describes a geometry-optimized AcTlTe2 structure. The functional is PBE-GGA.

The structure in POSCAR format:
```
AcTlTe2
1.0
4.814 0.000 0.000
2.407 4.169 0.000
2.407 1.390 8.153
Ac Te Tl
1 2 1
Direct
0.000 0.000 0.000
0.257 0.257 0.228
0.743 0.743 0.772
0.500 0.500 0.500
```

Output
formation energy from raw total energies: -1147 meV/atom
distance to the lowest polymorph of the same formula: 0 meV per atom
electronic total energy: -4.3360 eV/atom
symmetry: No. 166
density: 7.0 Mg/m³

Entry 8:
This record from Alexandria describes a geometry-optimized LaMgAl2Au structure. The functional is PBE-GGA.

The structure in POSCAR format:
```
LaMgAl2Au
1.0
-0.108 0.228 4.423
2.919 -3.379 0.246
2.862 5.257 -2.420
Mg Au Al La
1 1 2 1
Direct
0.194 0.694 0.389
0.824 0.824 0.647
0.047 0.047 0.094
0.694 0.194 0.389
0.452 0.452 0.905
```

Output
electronic total energy: -4.0189 eV/atom
symmetry: No. 44
density: 6.2 Mg/m³
DFT formation energy: -562 meV/atom

Entry 9:
This record from Alexandria describes a geometry-optimized La2AlNi structure. The functional is PBE-GGA.

The structure in POSCAR format:
```
La2AlNi
1.0
8.521 -0.031 -0.018
7.619 3.816 -0.018
7.619 1.787 3.372
Ni La Al
1 2 1
Direct
0.250 0.250 0.250
0.988 0.988 0.988
0.512 0.512 0.512
0.750 0.750 0.750
```

Output
electronic total energy: -4.9603 eV/atom
symmetry: No. 166
density: 5.4 Mg/m³
DFT formation energy: -116 meV/atom

Entry 10:
This record from Alexandria describes a geometry-optimized YPaRh4 structure. The functional is PBE-GGA.

The structure in POSCAR format:
```
YPaRh4
1.0
5.334 0.000 0.000
2.667 4.620 0.000
2.667 1.540 4.355
Y Rh Pa
1 4 1
Direct
0.000 0.000 0.000
0.625 0.124 0.625
0.124 0.625 0.625
0.625 0.625 0.625
0.625 0.625 0.124
0.250 0.250 0.250
```

Output
distance to the lowest polymorph of the same formula: 0 meV per atom
electronic total energy: -8.2356 eV/atom
symmetry: No. 216
density: 11.3 Mg/m³
DFT formation energy: -675 meV/atom

Entry 11:
This record from Alexandria describes a geometry-optimized ZnTcBr3 structure. The functional is PBE-GGA.

The structure in POSCAR format:
```
ZnTcBr3
1.0
5.211 0.000 0.000
0.000 5.211 0.000
0.000 0.000 5.211
Zn Br Tc
1 3 1
Direct
0.500 0.500 0.500
0.000 0.000 0.500
0.500 0.000 0.000
0.000 0.500 0.000
0.000 0.000 0.000
```

Output
formation energy from raw total energies: 151 meV/atom
distance to the lowest polymorph of the same formula: 0 meV per atom
electronic total energy: -3.1812 eV/atom
symmetry: No. 221
density: 4.7 Mg/m³

Entry 12:
This record from Alexandria describes a geometry-optimized CeSm2Ho2 structure. The functional is PBE-GGA.

The structure in POSCAR format:
```
CeSm2Ho2
1.0
-4.058 -2.036 0.289
2.013 -3.800 1.486
0.250 5.567 6.934
Sm Ho Ce
2 2 1
Direct
0.250 0.750 0.500
0.750 0.250 0.500
0.406 0.406 0.813
0.594 0.594 0.187
0.000 0.000 0.000
```

Output
electronic total energy: -4.4879 eV/atom
symmetry: No. 139
density: 7.5 Mg/m³
DFT formation energy: 418 meV/atom